! HoEr4Tl | the Alexandria database | PBE | optimized geometry; values from VASP
&SYSTEM
  ibrav = 0, nat = 12, ntyp = 3
/
ATOMIC_SPECIES
Ho 164.93 Ho.upf
Er 167.26 Er.upf
Tl 204.38 Tl.upf
ATOMIC_POSITIONS angstrom
Ho 2.6628 8.2174 3.2528
Ho 2.6628 -8.2174 0.0000
Er 2.6628 8.2623 6.4710
Er 2.6628 5.1255 1.5853
Er 2.6628 4.3531 4.8337
Er 2.6628 1.0803 4.9014
Er 2.6628 -1.0803 1.6486
Er 2.6628 -4.3531 1.5809
Er 2.6628 -5.1255 4.8381
Er 2.6628 -8.2623 3.2182
Tl 2.6628 1.9829 1.6159
Tl 2.6628 -1.9829 4.8687
CELL_PARAMETERS angstrom
2.6628 -11.2650 0.0000
2.6628 11.2650 0.0000
0.0000 0.0000 6.5056
! Energy relative to the elements in eV per atom: 0.10
! Polymorph energy (0 for the lowest one) in meV per atom: 207.3
! E in eV/atom: -4.095